Entry 1:
A geometry-optimized Pr3Te3N structure, computed with PBE-GGA.

Cell lengths 8.7455, 13.0632, 7.8599 Å; angles 90.00, 103.38, 90.00 degrees
With the nearest neighbours (Å) after each atom.
Space group C2/m (No. 12)
Unique sites:
Pr 0.1000 0.0000 0.3352  2 N 2.37-2.38
Pr 0.2034 0.3568 0.2189  1 N 2.31
Te 0.0000 0.1634 0.0000  6 Pr 3.33-3.44
Te 0.0000 0.2582 0.5000  4 Pr 3.35-3.39
Te 0.1142 0.5000 0.8524  5 Pr 3.18-3.37, 1 Te 3.39
N 0.1681 0.0000 0.6457  4 Pr 2.31-2.38

Computed properties:
- ΔE_f (raw) (kJ per mole of atoms) = -140.9
- excess energy over the best structure of this formula in the dataset (meV per atom) = 0

---

Entry 2:
A geometry-optimized Pr4Te3N2 structure, computed with PBE-GGA.

Cell lengths 7.4794, 11.8700, 11.5159 Å; angles 90.00, 90.00, 90.00 degrees
With the nearest neighbours (Å) after each atom.
Space group Pnma (No. 62)
Unique sites:
Pr 0.0934 0.2500 0.1592  2 N 2.37
Pr 0.1463 0.0492 0.8899  2 N 2.33-2.37
Pr 0.2312 0.2500 0.5312  2 N 2.35
Te 0.0634 0.5793 0.6354  6 Pr 3.28-3.58
Te 0.0804 0.7500 0.2738  6 Pr 3.13-3.48
N 0.0514 0.6219 0.9671  4 Pr 2.33-2.37

Computed properties:
- ΔE_f (raw) (kJ per mole of atoms) = -144.2
- excess energy over the best structure of this formula in the dataset (meV per atom) = 0

---

Entry 3:
A geometry-optimized Pr2TeN structure, computed with PBE-GGA.

Cell lengths 7.6767, 6.7825, 9.2526 Å; angles 90.00, 90.00, 90.00 degrees
With the nearest neighbours (Å) after each atom.
Space group Pnma (No. 62)
Unique sites:
Pr 0.1845 0.0011 0.0979  2 N 2.39-2.44
Te 0.0619 0.2500 0.3805  6 Pr 3.25-3.36
N 0.0280 0.2500 0.9701  4 Pr 2.39-2.44

Computed properties:
- ΔE_f (raw) (kJ per mole of atoms) = -103.1
- excess energy over the best structure of this formula in the dataset (meV per atom) = 240

---

Entry 4:
A geometry-optimized Pr3Te3N structure, computed with PBE-GGA.

Cell lengths 7.8350, 13.3540, 10.3254 Å; angles 90.00, 127.69, 90.00 degrees
With the nearest neighbours (Å) after each atom.
Space group P2_1/c (No. 14)
Unique sites:
Pr 0.1242 0.1085 0.1210  2 N 2.34-2.39
Pr 0.1312 0.0445 0.7355  1 N 2.31
Pr 0.3569 0.6619 0.8122  1 N 2.37
Te 0.1039 0.1842 0.4282  6 Pr 3.36-3.57, 1 N 3.62
Te 0.3798 0.5725 0.1117  4 Pr 3.14-3.39
Te 0.3855 0.6374 0.5132  5 Pr 3.24-3.35
N 0.0528 0.5551 0.6553  4 Pr 2.31-2.39

Computed properties:
- ΔE_f (raw) (kJ per mole of atoms) = -139.3
- excess energy over the best structure of this formula in the dataset (meV per atom) = 16

---

Entry 5:
A geometry-optimized PrTeN structure, computed with PBE-GGA.

Cell lengths 6.4851, 6.3639, 9.2124 Å; angles 90.00, 110.59, 90.00 degrees
With the nearest neighbours (Å) after each atom.
Space group C2/m (No. 12)
Unique sites:
Pr 0.1376 0.0000 0.2759  2 N 2.46
Te 0.1660 0.5000 0.3326  5 Pr 3.22-3.38
N 0.0950 0.0000 0.0000  1 N 1.23

Computed properties:
- ΔE_f (raw) (kJ per mole of atoms) = -91.1
- excess energy over the best structure of this formula in the dataset (meV per atom) = 0

---

Entry 6:
A geometry-optimized Pr5Te5N2 structure, computed with PBE-GGA.

Cell lengths 14.6435, 4.1511, 11.3210 Å; angles 90.00, 99.42, 90.00 degrees
With the nearest neighbours (Å) after each atom.
Space group C2/m (No. 12)
Unique sites:
Pr 0.0000 0.0000 0.0000  2 N 2.47
Pr 0.0927 0.0000 0.3327  1 N 2.34
Pr 0.1344 0.5000 0.7878  2 N 2.45
Te 0.0000 0.5000 0.5000  6 Pr 3.25-3.52
Te 0.1607 0.5000 0.0925  3 Pr 3.18-3.41, 1 Te 3.41
Te 0.2364 0.0000 0.6151  5 Pr 3.23-3.53, 3 Te 3.41
N 0.0477 0.0000 0.8008  4 Pr 2.34-2.47

Computed properties:
- ΔE_f (raw) (kJ per mole of atoms) = -127.1

---

Entry 7:
A geometry-optimized Pr2TeN structure, computed with PBE-GGA.

Cell lengths 3.9322, 3.9322, 14.5845 Å; angles 90.00, 90.00, 120.00 degrees
With the nearest neighbours (Å) after each atom.
Space group P6_3/mmc (No. 194)
Unique sites:
Pr 0.3333 0.6667 0.0938  3 N 2.65
Te 0.3333 0.6667 0.7500  6 Pr 3.22
N 0.0000 0.0000 0.0000  6 Pr 2.65

Computed properties:
- ΔE_f (raw) (kJ per mole of atoms) = -126.3
- excess energy over the best structure of this formula in the dataset (meV per atom) = 0

---

Entry 8:
A geometry-optimized Pr2TeN structure, computed with PBE-GGA.

Cell lengths 3.9182, 3.9182, 21.9891 Å; angles 90.00, 90.00, 120.00 degrees
With the nearest neighbours (Å) after each atom.
Space group R3m (No. 160, hexagonal axes)
Unique sites:
Pr 0.0000 0.0000 0.0000  3 N 2.62
Pr 0.0000 0.0000 0.2085  3 N 2.68
Te 0.0000 0.0000 0.4380  6 Pr 3.21-3.23
N 0.0000 0.0000 0.6070  6 Pr 2.62-2.68

Computed properties:
- ΔE_f (raw) (kJ per mole of atoms) = -124.1
- excess energy over the best structure of this formula in the dataset (meV per atom) = 24